# 1
! PBE LaSmZnRu, optimized geometry; values from VASP
&SYSTEM
  ibrav = 0, nat = 4, ntyp = 4
/
ATOMIC_SPECIES
La 138.91 La.upf
Sm 150.36 Sm.upf
Zn 65.41 Zn.upf
Ru 101.07 Ru.upf
CELL_PARAMETERS angstrom
0.000 3.602 3.602
3.602 0.000 3.602
3.602 3.602 0.000
ATOMIC_POSITIONS crystal
La 0.000 0.000 0.000
Sm 0.500 0.500 0.500
Zn 0.750 0.750 0.750
Ru 0.250 0.250 0.250
! M_tot, μB per formula unit: 0.0
! DFT total energy, eV per atom: -5.286
! SG: F-43m, No. 216
! Relative energy among the computed polymorphs, meV per atom: 37.2

# 2
! PBE LiTeIr, optimized geometry; values from VASP
&SYSTEM
  ibrav = 0, nat = 3, ntyp = 3
/
ATOMIC_SPECIES
Li 6.94 Li.upf
Te 127.60 Te.upf
Ir 192.22 Ir.upf
CELL_PARAMETERS angstrom
3.456 0.000 0.000
-1.728 2.993 0.000
0.000 0.000 6.291
ATOMIC_POSITIONS crystal
Li 0.000 0.000 0.000
Te 0.667 0.333 0.423
Ir 0.333 0.667 0.678
! Formation energy (no corrections), eV/atom: 0.1218
! M_tot, μB per formula unit: 0.0
! DFT total energy, eV per atom: -4.517
! SG: P3m1, No. 156
! Relative energy among the computed polymorphs, meV per atom: 369.8

# 3
! PBE V2OsRh, optimized geometry; values from VASP
&SYSTEM
  ibrav = 0, nat = 8, ntyp = 3
/
ATOMIC_SPECIES
V 50.94 V.upf
Os 190.23 Os.upf
Rh 102.91 Rh.upf
CELL_PARAMETERS angstrom
-3.356 3.356 2.677
3.356 -3.356 2.677
3.356 3.356 -2.677
ATOMIC_POSITIONS crystal
V 0.122 0.625 0.997
V 0.375 0.372 0.497
V 0.628 0.125 0.003
V 0.875 0.878 0.503
Os 0.000 0.000 0.000
Os 0.750 0.250 0.500
Rh 0.250 0.750 0.500
Rh 0.500 0.500 0.000
! M_tot, μB per formula unit: 0.0
! DFT total energy, eV per atom: -8.847
! SG: I-42d, No. 122

# 4
! PBE Rb3YTi, optimized geometry; values from VASP
&SYSTEM
  ibrav = 0, nat = 5, ntyp = 3
/
ATOMIC_SPECIES
Rb 85.47 Rb.upf
Y 88.91 Y.upf
Ti 47.87 Ti.upf
CELL_PARAMETERS angstrom
7.142 0.000 0.000
0.000 7.142 0.000
0.000 0.000 7.142
ATOMIC_POSITIONS crystal
Rb 0.000 0.000 0.500
Rb 0.000 0.500 0.000
Rb 0.500 0.000 0.000
Y 0.000 0.000 0.000
Ti 0.500 0.500 0.500
! M_tot, μB per formula unit: 3.5
! DFT total energy, eV per atom: -1.748
! SG: Pm-3m, No. 221
! Relative energy among the computed polymorphs, meV per atom: 337.1

# 5
! PBE YBe2BRh, optimized geometry; values from VASP
&SYSTEM
  ibrav = 0, nat = 5, ntyp = 4
/
ATOMIC_SPECIES
Y 88.91 Y.upf
Be 9.01 Be.upf
B 10.81 B.upf
Rh 102.91 Rh.upf
CELL_PARAMETERS angstrom
-1.769 1.820 4.989
1.769 -1.820 4.989
1.769 1.820 -4.989
ATOMIC_POSITIONS crystal
Y 0.000 0.000 0.000
Be 0.623 0.623 0.000
Be 0.771 0.271 0.500
B 0.387 0.387 0.000
Rh 0.260 0.760 0.500
! M_tot, μB per formula unit: 0.0
! DFT total energy, eV per atom: -5.963
! SG: Imm2, No. 44